Computed, not measured: a relaxed structure of BiSb2I at the PBE level of DFT.

POSCAR file:
```
BiSb2I
1.0
0.000 3.914 3.914
3.914 0.000 3.914
3.914 3.914 0.000
I Sb Bi
1 2 1
Direct
0.000 0.000 0.000
0.250 0.250 0.250
0.750 0.750 0.750
0.500 0.500 0.500
```

Computed properties:
**Density of states at the Fermi level**: 0.79 states/eV/atom
**E_tot**: -3.13 eV/atom

Computed, not measured: a relaxed structure of BiSbI2 at the PBE level of DFT.

POSCAR file:
```
BiSbI2
1.0
-3.428 -0.272 -1.660
4.833 -2.094 -0.759
-2.684 -8.484 6.744
Bi Sb I
1 1 2
Direct
0.584 0.924 0.552
0.083 0.924 0.052
0.085 0.922 0.323
0.084 0.928 0.781
```

Computed properties:
**Density of states at the Fermi level**: 0.44 states/eV/atom
**E_tot**: -2.64 eV/atom
**Energy above the most stable polymorph in this dataset**: 0 meV per atom